Entry A
An optimized crystal structure of RbAs2IrBr, computed with PBE.

Geometry as extended XYZ:
```
5
Lattice="-3.4446 -1.1787 2.9371 0.1925 -4.4112 -1.5446 6.3070 -2.0296 6.5824" Properties=species:S:1:pos:R:3 pbc="T T T"
As 0.0962 -2.2056 -0.7723
As -1.7223 -0.5894 1.4685
Ir 0.0000 0.0000 0.0000
Br 3.1535 -1.0148 3.2912
Rb 1.5275 -3.8098 3.9875
```

Properties
Size of the total moment in μB per atom: 0.000


Entry B
An optimized crystal structure of RbAs2IrBr, computed with PBE.

Geometry as extended XYZ:
```
5
Lattice="-5.6333 -2.3792 3.9314 -0.1492 -6.1216 -3.9185 3.9925 -2.7097 4.0811" Properties=species:S:1:pos:R:3 pbc="T T T"
As -0.0746 -3.0608 -1.9592
As -2.8167 -1.1896 1.9657
Ir -0.8950 -5.6052 2.0470
Br 1.9963 -1.3548 2.0405
Rb 0.0000 0.0000 0.0000
```

Properties
Size of the total moment in μB per atom: 1.801


Q: What are the energies relative to the best structure? A: entry A 0; entry B 2232, in meV per atom.